Sr3In3Sn2, relaxed, DFT GGA-PBE; total magnetization = 0.000 μB/atom; symmetry = Cmcm; formation enthalpy at 0 K = -3.8 eV per formula unit; DOS(E_F) = 0.596 states/eV per atom; total energy = -3.1356 eV per atom
1.0
4.956 0.000 0.000
-2.478 6.129 0.000
0.000 0.000 16.919
Sr In Sn
6 6 4
Cartesian
2.478 5.310 6.588 Sr
0.000 0.819 15.047 Sr
2.478 5.310 1.872 Sr
0.000 0.819 10.331 Sr
2.478 1.913 4.230 Sr
0.000 4.216 12.689 Sr
2.478 1.525 7.868 In
0.000 4.604 16.327 In
2.478 1.525 0.591 In
0.000 4.604 9.050 In
0.000 4.648 4.230 In
2.478 1.480 12.689 In
2.478 3.362 15.047 Sn
0.000 2.767 6.588 Sn
2.478 3.362 10.331 Sn
0.000 2.767 1.871 Sn


SrInSn, relaxed, DFT GGA-PBE; total magnetization = 0.000 μB/atom; symmetry = P3m1; formation enthalpy at 0 K = -1.4 eV per formula unit; DOS(E_F) = 0.393 states/eV per atom; total energy = -3.2642 eV per atom
1.0
-4.203 1.436 -2.043
-2.287 -3.650 2.139
0.366 4.245 2.229
Sr Sn In
1 1 1
Cartesian
-4.211 -0.059 0.804 Sr
-1.581 1.977 1.683 Sn
-0.331 0.113 -0.161 In


SrIn6Sn, relaxed, DFT GGA-PBE; total magnetization = 0.000 μB/atom; symmetry = Cmmm; formation enthalpy at 0 K = -1.1 eV per formula unit; DOS(E_F) = 0.319 states/eV per atom; total energy = -2.9042 eV per atom
1.0
-2.876 4.459 1.614
-5.202 -3.945 1.630
4.462 1.097 4.917
Sr In Sn
1 6 1
Cartesian
-1.808 0.805 4.081 Sr
-2.606 -2.591 2.513 In
1.865 -0.257 4.034 In
-0.583 -2.243 5.157 In
-0.157 -0.605 1.390 In
-4.039 0.257 1.622 In
0.793 2.778 3.266 In
-1.438 2.229 0.807 Sn


Q: Which value of total energy does entry 3 give?
A: -2.9042 eV per atom